Here is crystalline GeHS at its relaxed geometry from the Alexandria database. Energies are from PBE-GGA.

SG   I4mm (107)
E   -23.32 eV for the cell shown

Unit cell a=3.803 b=3.803 c=6.258 alpha=90.00 beta=90.00 gamma=90.00
Atoms (fractional coordinates):
1 Ge 0.000 0.000 0.000
2 Ge 0.500 0.500 0.500
3 H 0.000 0.000 0.279
4 H 0.500 0.500 0.779
5 S 0.000 0.000 0.550
6 S 0.500 0.500 0.050